Density functional theory data (PBE) for a relaxed structure of AgBS2.

Cell and atoms, written as POSCAR:
```
AgBS2
1.0
5.502 0.000 0.000
0.000 5.502 0.000
2.751 2.751 4.327
B Ag S
2 2 4
Direct
0.250 0.750 0.500
0.500 0.500 0.000
0.000 0.000 0.000
0.750 0.250 0.500
0.535 0.125 0.250
0.215 0.625 0.250
0.875 0.785 0.750
0.375 0.465 0.750
```

Values from the calculation:
crystal system: tetragonal
symmetry: I-42d (122)
uncorrected formation energy: -22 kJ/mol of atoms

---

Density functional theory data (PBE) for a relaxed structure of Ag5B2S5.

Cell and atoms, written as POSCAR:
```
Ag5B2S5
1.0
3.020 0.000 0.000
-1.510 6.058 1.279
0.000 -1.019 11.331
S Ag B
5 5 2
Direct
0.335 0.670 0.195
0.000 0.000 0.000
0.042 0.084 0.273
0.958 0.916 0.727
0.665 0.330 0.805
0.333 0.666 0.914
0.667 0.334 0.086
0.819 0.639 0.422
0.500 0.000 0.500
0.181 0.361 0.578
0.930 0.861 0.177
0.070 0.139 0.823
```

Values from the calculation:
crystal system: monoclinic
symmetry: C2/m (12)
uncorrected formation energy: 7 kJ/mol of atoms

---

Repeat the second record exactly.
Density functional theory data (PBE) for a relaxed structure of Ag5B2S5.

Cell and atoms, written as POSCAR:
```
Ag5B2S5
1.0
3.020 0.000 0.000
-1.510 6.058 1.279
0.000 -1.019 11.331
S Ag B
5 5 2
Direct
0.335 0.670 0.195
0.000 0.000 0.000
0.042 0.084 0.273
0.958 0.916 0.727
0.665 0.330 0.805
0.333 0.666 0.914
0.667 0.334 0.086
0.819 0.639 0.422
0.500 0.000 0.500
0.181 0.361 0.578
0.930 0.861 0.177
0.070 0.139 0.823
```

Values from the calculation:
crystal system: monoclinic
symmetry: C2/m (12)
uncorrected formation energy: 7 kJ/mol of atoms

---

The highest uncorrected formation energy belongs to which entry? Ag5B2S5

---

Look up the uncorrected formation energy of the first one. -22 kJ/mol of atoms

---

Please write out number 2 again, unchanged.
Density functional theory data (PBE) for a relaxed structure of Ag5B2S5.

Cell and atoms, written as POSCAR:
```
Ag5B2S5
1.0
3.020 0.000 0.000
-1.510 6.058 1.279
0.000 -1.019 11.331
S Ag B
5 5 2
Direct
0.335 0.670 0.195
0.000 0.000 0.000
0.042 0.084 0.273
0.958 0.916 0.727
0.665 0.330 0.805
0.333 0.666 0.914
0.667 0.334 0.086
0.819 0.639 0.422
0.500 0.000 0.500
0.181 0.361 0.578
0.930 0.861 0.177
0.070 0.139 0.823
```

Values from the calculation:
crystal system: monoclinic
symmetry: C2/m (12)
uncorrected formation energy: 7 kJ/mol of atoms